(1)
Density functional theory data (PBE) for a relaxed MnNi2H crystal.

Structure (extended XYZ):
```
4
Lattice="2.473 0.000 0.000 1.237 2.142 0.000 1.237 0.714 7.142" Properties=species:S:1:pos:R:3 pbc="T T T"
Ni 1.237 0.714 5.577
H 0.000 0.000 0.000
Ni 3.710 2.142 1.564
Mn 2.473 1.428 3.571
```

Output
N(E_F), states/eV per atom: 1.178
E_tot, eV/atom: -5.808
Magnetization, μB per formula unit: 0.82

(2)
Density functional theory data (PBE) for a relaxed MnNi6H3 crystal.

Structure (extended XYZ):
```
10
Lattice="-4.291 0.698 -2.592 4.470 1.107 -2.120 1.651 -4.716 0.989" Properties=species:S:1:pos:R:3 pbc="T T T"
Ni -0.478 -2.448 -2.267
Ni 0.829 -0.413 -1.493
Ni 3.066 0.133 -2.525
H 0.270 -3.682 -1.365
Ni 3.912 -2.227 -2.039
Mn 1.757 -1.862 -3.330
H 3.194 -3.647 -1.254
H 0.113 -1.723 -0.652
Ni 1.663 -2.783 -0.986
Ni 0.949 0.489 -3.834
```

Output
N(E_F), states/eV per atom: 0.848
E_tot, eV/atom: -5.311
Magnetization, μB per formula unit: 5.17

(3)
Density functional theory data (PBE) for a relaxed MnNi2H crystal.

Structure (extended XYZ):
```
8
Lattice="-3.880 -2.953 2.977 4.114 -1.900 3.478 -0.222 -0.534 4.663" Properties=species:S:1:pos:R:3 pbc="T T T"
H 2.004 -2.430 5.684
Mn -1.993 -2.957 5.433
Mn 0.000 0.000 0.000
Ni -1.551 -1.900 3.142
H 0.117 -2.426 3.227
Ni 0.362 -2.424 6.290
Ni -0.403 -4.443 8.772
Ni 1.615 -2.007 4.031
```

Output
N(E_F), states/eV per atom: 0.481
E_tot, eV/atom: -5.915
Magnetization, μB per formula unit: 4.21

(4)
Density functional theory data (PBE) for a relaxed MnNi3H crystal.

Structure (extended XYZ):
```
20
Lattice="-8.168 -5.669 -3.897 -1.888 -6.226 0.060 2.195 1.696 5.885" Properties=species:S:1:pos:R:3 pbc="T T T"
Ni -0.777 -4.936 4.158
Ni -7.085 -5.262 -2.110
Ni -2.795 -2.130 3.234
H -6.049 -8.321 0.275
Ni -0.753 -3.250 2.262
Mn -7.052 -7.639 -2.532
Ni -2.860 -4.733 2.817
H -7.834 -10.209 -1.071
Ni -0.968 -1.877 0.189
Ni -2.947 -3.217 0.874
Mn -2.910 -5.653 0.530
Ni -7.108 -6.949 -0.215
Mn -4.951 -4.546 1.518
Ni -5.001 -5.466 -0.769
H -1.812 -1.877 1.773
Ni -6.893 -8.322 1.859
Ni -4.914 -6.981 1.174
H -0.027 0.011 3.119
Ni -5.066 -8.069 -1.186
Mn -0.809 -2.559 4.580
```

Output
N(E_F), states/eV per atom: 1.017
E_tot, eV/atom: -5.825
Magnetization, μB per formula unit: 1.15

(5)
Density functional theory data (PBE) for a relaxed MnNi3H crystal.

Structure (extended XYZ):
```
20
Lattice="4.470 0.000 0.000 0.000 6.819 0.000 0.000 0.000 6.845" Properties=species:S:1:pos:R:3 pbc="T T T"
Ni 3.620 1.705 5.577
Ni 0.850 5.115 1.268
Mn 2.235 3.410 0.000
Ni 4.388 2.839 1.056
Ni 2.153 2.839 2.366
Ni 1.385 1.705 4.691
Mn 0.000 0.000 3.423
H 2.115 1.705 6.191
Ni 2.153 0.571 2.366
H 4.350 1.705 4.077
Mn 2.235 0.000 0.000
H 2.355 5.115 0.654
Ni 0.082 3.980 5.789
H 0.120 5.115 2.768
Ni 4.388 0.571 1.056
Mn 0.000 3.410 3.423
Ni 2.317 3.980 4.479
Ni 0.082 6.249 5.789
Ni 3.085 5.115 2.155
Ni 2.317 6.249 4.479
```

Output
N(E_F), states/eV per atom: 1.104
E_tot, eV/atom: -5.804
Magnetization, μB per formula unit: 4.62

(6)
Density functional theory data (PBE) for a relaxed MnNi3H crystal.

Structure (extended XYZ):
```
20
Lattice="-12.723 -6.186 16.418 -1.244 -3.627 -2.331 6.284 1.311 -5.394" Properties=species:S:1:pos:R:3 pbc="T T T"
H 0.883 -1.943 0.544
Ni -4.144 -4.475 5.592
Mn -10.278 -8.260 10.568
Ni -3.539 -4.028 3.101
Ni -5.307 -3.631 7.712
Ni -11.479 -7.454 12.636
Mn -7.281 -5.076 8.333
Ni -7.168 -7.661 7.845
Ni -2.168 -2.960 5.008
Ni -5.514 -5.543 3.684
Ni -0.515 -0.842 0.848
Ni 3.797 -1.049 -3.944
H -8.664 -5.819 11.368
Ni -8.329 -6.801 9.954
Ni 0.646 -1.702 -1.262
Mn 2.595 -0.243 -1.875
H 0.982 -2.684 -2.676
Ni -2.376 -4.872 0.981
Mn -0.402 -3.427 0.359
H -8.566 -6.560 8.148
```

Output
N(E_F), states/eV per atom: 0.765
E_tot, eV/atom: -6.014
Magnetization, μB per formula unit: 4.37

(7)
Density functional theory data (PBE) for a relaxed MnNi3H crystal.

Structure (extended XYZ):
```
5
Lattice="2.483 0.000 0.000 0.000 2.433 -5.644 0.000 2.433 5.644" Properties=species:S:1:pos:R:3 pbc="T T T"
Ni 0.000 2.433 3.473
Mn 0.000 2.433 1.218
H 1.242 2.433 -5.119
Ni 1.242 3.645 -0.508
Ni 1.242 1.221 -0.508
```

Output
N(E_F), states/eV per atom: 1.099
E_tot, eV/atom: -5.441
Magnetization, μB per formula unit: 3.56

(8)
Density functional theory data (PBE) for a relaxed MnNi3H crystal.

Structure (extended XYZ):
```
5
Lattice="-3.461 1.096 0.094 -0.142 -0.137 -3.626 -1.091 -3.459 0.174" Properties=species:S:1:pos:R:3 pbc="T T T"
Ni -0.071 -0.069 -1.813
Mn -2.347 -1.250 -1.679
Ni -0.546 -1.730 0.087
Ni -1.730 0.548 0.047
H 0.000 0.000 0.000
```

Output
N(E_F), states/eV per atom: 0.630
E_tot, eV/atom: -6.075
Magnetization, μB per formula unit: 4.30

What did the eighth record say?
Density functional theory data (PBE) for a relaxed MnNi3H crystal.

Structure (extended XYZ):
```
5
Lattice="-3.461 1.096 0.094 -0.142 -0.137 -3.626 -1.091 -3.459 0.174" Properties=species:S:1:pos:R:3 pbc="T T T"
Ni -0.071 -0.069 -1.813
Mn -2.347 -1.250 -1.679
Ni -0.546 -1.730 0.087
Ni -1.730 0.548 0.047
H 0.000 0.000 0.000
```

Output
N(E_F), states/eV per atom: 0.630
E_tot, eV/atom: -6.075
Magnetization, μB per formula unit: 4.30